# 1
Below is CaCd6Au3 after structural relaxation, with properties calculated at the PBE-GGA level.

Geometry as CIF:
```
data_CaCd6Au3
_symmetry_space_group_name_H-M 'P 1'
_symmetry_Int_Tables_number 1
_symmetry_space_group_name_Hall 'P 1'
_cell_length_a 8.998
_cell_length_b 4.730
_cell_length_c 10.707
_cell_angle_alpha 90.00
_cell_angle_beta 101.64
_cell_angle_gamma 90.00
loop_
_atom_site_label
_atom_site_fract_x
_atom_site_fract_y
_atom_site_fract_z
_atom_site_occupancy
Ca1 0.068 0.250 0.270 1
Ca2 0.932 0.750 0.730 1
Cd1 0.116 0.250 0.602 1
Cd2 0.142 0.750 0.033 1
Cd3 0.305 0.750 0.772 1
Cd4 0.353 0.750 0.289 1
Cd5 0.400 0.250 0.463 1
Cd6 0.472 0.250 0.913 1
Cd7 0.528 0.750 0.087 1
Cd8 0.600 0.750 0.537 1
Cd9 0.647 0.250 0.711 1
Cd10 0.695 0.250 0.228 1
Cd11 0.858 0.250 0.967 1
Cd12 0.884 0.750 0.398 1
Au1 0.140 0.250 0.872 1
Au2 0.211 0.750 0.498 1
Au3 0.356 0.250 0.146 1
Au4 0.644 0.750 0.854 1
Au5 0.789 0.250 0.502 1
Au6 0.860 0.750 0.128 1
```

Output
**Formation energy**: -278 kJ/mol of formula units
**DFT total energy**: -2.02 eV per atom

---

# 2
Below is CaCd12Au4 after structural relaxation, with properties calculated at the PBE-GGA level.

Geometry as CIF:
```
data_CaCd12Au4
_symmetry_space_group_name_H-M 'P 1'
_symmetry_Int_Tables_number 1
_symmetry_space_group_name_Hall 'P 1'
_cell_length_a 8.374
_cell_length_b 8.374
_cell_length_c 8.374
_cell_angle_alpha 109.47
_cell_angle_beta 109.47
_cell_angle_gamma 109.47
loop_
_atom_site_label
_atom_site_fract_x
_atom_site_fract_y
_atom_site_fract_z
_atom_site_occupancy
Ca1 0.000 0.000 0.000 1
Cd1 0.152 0.500 0.348 1
Cd2 0.152 0.804 0.652 1
Cd3 0.196 0.348 0.848 1
Cd4 0.348 0.152 0.500 1
Cd5 0.348 0.848 0.196 1
Cd6 0.500 0.348 0.152 1
Cd7 0.500 0.652 0.848 1
Cd8 0.652 0.152 0.804 1
Cd9 0.652 0.848 0.500 1
Cd10 0.804 0.652 0.152 1
Cd11 0.848 0.196 0.348 1
Cd12 0.848 0.500 0.652 1
Au1 0.000 0.000 0.500 1
Au2 0.000 0.500 0.000 1
Au3 0.500 0.000 0.000 1
Au4 0.500 0.500 0.500 1
```

Output
**Formation energy**: -55 kJ/mol of formula units
**DFT total energy**: -1.57 eV per atom

---

# 3
Below is Ca2Cd12Au7 after structural relaxation, with properties calculated at the PBE-GGA level.

Geometry as CIF:
```
data_Ca2Cd12Au7
_symmetry_space_group_name_H-M 'P 1'
_symmetry_Int_Tables_number 1
_symmetry_space_group_name_Hall 'P 1'
_cell_length_a 11.497
_cell_length_b 11.497
_cell_length_c 4.154
_cell_angle_alpha 90.00
_cell_angle_beta 90.00
_cell_angle_gamma 120.00
loop_
_atom_site_label
_atom_site_fract_x
_atom_site_fract_y
_atom_site_fract_z
_atom_site_occupancy
Ca1 0.000 0.000 0.000 1
Ca2 0.333 0.667 0.500 1
Cd1 0.047 0.757 0.500 1
Cd2 0.112 0.382 0.000 1
Cd3 0.243 0.290 0.500 1
Cd4 0.271 0.888 0.000 1
Cd5 0.388 0.215 0.000 1
Cd6 0.532 0.111 0.500 1
Cd7 0.579 0.468 0.500 1
Cd8 0.618 0.729 0.000 1
Cd9 0.710 0.953 0.500 1
Cd10 0.785 0.173 0.000 1
Cd11 0.827 0.612 0.000 1
Cd12 0.889 0.421 0.500 1
Au1 0.083 0.604 0.000 1
Au2 0.228 0.035 0.500 1
Au3 0.396 0.479 0.000 1
Au4 0.521 0.917 0.000 1
Au5 0.667 0.333 0.000 1
Au6 0.807 0.772 0.500 1
Au7 0.965 0.193 0.500 1
```

Output
**Formation energy**: -606 kJ/mol of formula units
**DFT total energy**: -2.10 eV per atom

---

The highest formation energy belongs to which entry?
CaCd12Au4

---

Among the records above, which one has the lowest DFT total energy?
Ca2Cd12Au7

---

What did the third record say?
Below is Ca2Cd12Au7 after structural relaxation, with properties calculated at the PBE-GGA level.

Geometry as CIF:
```
data_Ca2Cd12Au7
_symmetry_space_group_name_H-M 'P 1'
_symmetry_Int_Tables_number 1
_symmetry_space_group_name_Hall 'P 1'
_cell_length_a 11.497
_cell_length_b 11.497
_cell_length_c 4.154
_cell_angle_alpha 90.00
_cell_angle_beta 90.00
_cell_angle_gamma 120.00
loop_
_atom_site_label
_atom_site_fract_x
_atom_site_fract_y
_atom_site_fract_z
_atom_site_occupancy
Ca1 0.000 0.000 0.000 1
Ca2 0.333 0.667 0.500 1
Cd1 0.047 0.757 0.500 1
Cd2 0.112 0.382 0.000 1
Cd3 0.243 0.290 0.500 1
Cd4 0.271 0.888 0.000 1
Cd5 0.388 0.215 0.000 1
Cd6 0.532 0.111 0.500 1
Cd7 0.579 0.468 0.500 1
Cd8 0.618 0.729 0.000 1
Cd9 0.710 0.953 0.500 1
Cd10 0.785 0.173 0.000 1
Cd11 0.827 0.612 0.000 1
Cd12 0.889 0.421 0.500 1
Au1 0.083 0.604 0.000 1
Au2 0.228 0.035 0.500 1
Au3 0.396 0.479 0.000 1
Au4 0.521 0.917 0.000 1
Au5 0.667 0.333 0.000 1
Au6 0.807 0.772 0.500 1
Au7 0.965 0.193 0.500 1
```

Output
**Formation energy**: -606 kJ/mol of formula units
**DFT total energy**: -2.10 eV per atom